(1)
Density functional theory data (PBE-GGA) for Ga3NiRh6 after structural relaxation.

* energy relative to the elements: -340 meV/atom
* symmetry: P2_1/m, No. 11

Lattice parameters (Å, degrees): 4.0793 7.8643 8.8523 99.32 90.00 90.00
With the nearest neighbours (Å) after each atom.
Element x y z (fractional)
Ga  0.2500  0.5458  0.3964  8 Rh 2.55-2.62
Ga  0.7500  0.4542  0.6036  8 Rh 2.55-2.62
Ga  0.2500  0.3574  0.8092  8 Rh 2.55-2.63
Ga  0.7500  0.6426  0.1908  8 Rh 2.55-2.63
Ga  0.2500  0.7610  0.9744  10 Rh 2.57-2.87
Ga  0.7500  0.2390  0.0256  10 Rh 2.57-2.87
Ni  0.2500  0.9529  0.5964  10 Rh 2.64-2.78, 2 Ni 2.83
Ni  0.7500  0.0471  0.4036  10 Rh 2.64-2.78, 2 Ni 2.83
Rh  0.2500  0.4486  0.1019  7 Ga 2.57-2.87, 1 Rh 2.80
Rh  0.7500  0.5514  0.8981  7 Ga 2.57-2.87, 1 Rh 2.80
Rh  0.2500  0.1393  0.2196  8 Rh 2.60-2.80, 2 Ni 2.78, 2 Ga 2.86
Rh  0.7500  0.8607  0.7804  8 Rh 2.60-2.80, 2 Ni 2.78, 2 Ga 2.86
Rh  0.2500  0.6402  0.6856  5 Ga 2.55-2.63, 1 Ni 2.70, 2 Rh 2.72
Rh  0.7500  0.3598  0.3144  5 Ga 2.55-2.63, 1 Ni 2.70, 2 Rh 2.72
Rh  0.2500  0.2613  0.5141  4 Ga 2.59-2.62, 5 Rh 2.63-2.89, 3 Ni 2.64-2.72
Rh  0.7500  0.7387  0.4859  4 Ga 2.59-2.62, 5 Rh 2.63-2.89, 3 Ni 2.64-2.72
Rh  0.2500  0.8296  0.2869  4 Ga 2.57-2.73, 5 Rh 2.60-2.86, 3 Ni 2.75
Rh  0.7500  0.1704  0.7131  4 Ga 2.57-2.73, 5 Rh 2.60-2.86, 3 Ni 2.75
Rh  0.2500  0.0687  0.9049  4 Ga 2.55-2.59, 5 Rh 2.73-2.85, 1 Ni 2.74
Rh  0.7500  0.9313  0.0951  4 Ga 2.55-2.59, 5 Rh 2.73-2.85, 1 Ni 2.74

(2)
Density functional theory data (PBE-GGA) for Ga8Ni2Rh after structural relaxation.

* energy relative to the elements: -186 meV/atom
* symmetry: C2/m, No. 12

Lattice parameters (Å, degrees): 4.9997 6.5510 6.5510 60.22 101.42 101.42
With the nearest neighbours (Å) after each atom.
Element x y z (fractional)
Ga  0.3635  0.3654  0.8310  2 Ni 2.38-2.54, 1 Rh 2.59, 1 Ga 2.62
Ga  0.6365  0.1690  0.6346  2 Ni 2.38-2.54, 1 Rh 2.59, 1 Ga 2.62
Ga  0.1713  0.8105  0.8105  1 Rh 2.49, 2 Ni 2.52-2.60, 1 Ga 2.68
Ga  0.8287  0.1895  0.1895  1 Rh 2.49, 2 Ni 2.52-2.60, 1 Ga 2.68
Ga  0.3635  0.8310  0.3654  2 Ni 2.38-2.54, 1 Rh 2.59, 1 Ga 2.62
Ga  0.6365  0.6346  0.1690  2 Ni 2.38-2.54, 1 Rh 2.59, 1 Ga 2.62
Ga  0.8440  0.5874  0.5874  1 Ni 2.42, 3 Ga 2.62-2.68
Ga  0.1560  0.4126  0.4126  1 Ni 2.42, 3 Ga 2.62-2.68
Ni  0.6377  0.7607  0.7607  7 Ga 2.38-2.60
Ni  0.3623  0.2393  0.2393  7 Ga 2.38-2.60
Rh  0.0000  0.0000  0.0000  6 Ga 2.49-2.59

(3)
Density functional theory data (PBE-GGA) for GaNiRh4 after structural relaxation.

* polymorph energy (0 for the lowest one): 295.1 meV/atom
* energy relative to the elements: 155 meV/atom
* symmetry: P4/mmm, No. 123

Lattice parameters (Å, degrees): 3.9697 3.9700 5.9378 90.00 90.00 90.00
With the nearest neighbours (Å) after each atom.
Element x y z (fractional)
Ga  0.5013  0.4973  0.9981  8 Rh 2.50
Ni  0.0013  0.9973  0.4982  8 Rh 2.46
Rh  0.5013  0.9973  0.2546  2 Ni 2.46, 2 Ga 2.50
Rh  0.5013  0.9973  0.7416  2 Ni 2.46, 2 Ga 2.50
Rh  0.0013  0.4972  0.7416  2 Ni 2.46, 2 Ga 2.50
Rh  0.0013  0.4973  0.2546  2 Ni 2.46, 2 Ga 2.50

(4)
Density functional theory data (PBE-GGA) for GaNi12Rh3 after structural relaxation.

* energy relative to the elements: 120 meV/atom
* symmetry: R-3c, No. 167

Lattice parameters (Å, degrees): 12.0138 12.0139 7.6214 37.99 37.99 60.00
With the nearest neighbours (Å) after each atom.
Element x y z (fractional)
Ga  0.2385  0.2385  0.2846  12 Ni 2.50-2.70
Ga  0.7385  0.7385  0.7846  12 Ni 2.50-2.70
Ni  0.0080  0.0270  0.2503  6 Ni 2.33-2.57, 2 Rh 2.54-2.56
Ni  0.3026  0.2620  0.4988  5 Ni 2.39-2.57, 3 Rh 2.48-2.61, 1 Ga 2.50
Ni  0.0398  0.7143  0.5714  5 Ni 2.39-2.57, 3 Rh 2.49-2.61, 1 Ga 2.50
Ni  0.9689  0.2611  0.8203  6 Ni 2.33-2.57, 2 Rh 2.54-2.56
Ni  0.4689  0.4496  0.3203  6 Ni 2.33-2.57, 2 Rh 2.54-2.56
Ni  0.5398  0.1744  0.0714  5 Ni 2.39-2.57, 3 Rh 2.49-2.61, 1 Ga 2.50
Ni  0.8026  0.4366  0.9988  5 Ni 2.39-2.57, 3 Rh 2.48-2.61, 1 Ga 2.50
Ni  0.7143  0.6744  0.5714  5 Ni 2.39-2.57, 3 Rh 2.49-2.61, 1 Ga 2.50
Ni  0.5080  0.2147  0.7503  6 Ni 2.33-2.57, 2 Rh 2.54-2.56
Ni  0.9366  0.3026  0.4988  5 Ni 2.39-2.57, 3 Rh 2.48-2.61, 1 Ga 2.50
Ni  0.7611  0.4689  0.3203  6 Ni 2.33-2.57, 2 Rh 2.54-2.56
Ni  0.2147  0.5270  0.7503  6 Ni 2.33-2.57, 2 Rh 2.54-2.56
Ni  0.1744  0.2143  0.0714  5 Ni 2.39-2.57, 3 Rh 2.49-2.61, 1 Ga 2.50
Ni  0.7147  0.0080  0.2503  6 Ni 2.33-2.57, 2 Rh 2.54-2.56
Ni  0.2611  0.9496  0.8203  6 Ni 2.33-2.57, 2 Rh 2.54-2.56
Ni  0.4366  0.7620  0.9988  5 Ni 2.39-2.57, 3 Rh 2.48-2.61, 1 Ga 2.50
Ni  0.7620  0.8026  0.9988  5 Ni 2.39-2.57, 3 Rh 2.48-2.61, 1 Ga 2.50
Ni  0.2143  0.5398  0.0714  5 Ni 2.39-2.57, 3 Rh 2.49-2.61, 1 Ga 2.50
Ni  0.5270  0.5080  0.7503  6 Ni 2.33-2.57, 2 Rh 2.54-2.56
Ni  0.9496  0.9689  0.8203  6 Ni 2.33-2.57, 2 Rh 2.54-2.56
Ni  0.4496  0.7611  0.3203  6 Ni 2.33-2.57, 2 Rh 2.54-2.56
Ni  0.0270  0.7147  0.2503  6 Ni 2.33-2.57, 2 Rh 2.54-2.56
Ni  0.2620  0.9366  0.4988  5 Ni 2.39-2.57, 3 Rh 2.48-2.61, 1 Ga 2.50
Ni  0.6744  0.0398  0.5714  5 Ni 2.39-2.57, 3 Rh 2.49-2.61, 1 Ga 2.50
Rh  0.6618  0.3150  0.0351  10 Ni 2.48-2.61
Rh  0.1618  0.4881  0.5351  10 Ni 2.48-2.61
Rh  0.8150  0.1618  0.5351  10 Ni 2.48-2.61
Rh  0.3150  0.9881  0.0351  10 Ni 2.48-2.61
Rh  0.9881  0.6618  0.0351  10 Ni 2.48-2.61
Rh  0.4881  0.8150  0.5351  10 Ni 2.48-2.61

(5)
Density functional theory data (PBE-GGA) for Ga2Ni2Rh after structural relaxation.

* polymorph energy (0 for the lowest one): 3.7 meV/atom
* energy relative to the elements: -311 meV/atom
* symmetry: Cmmm, No. 65

Lattice parameters (Å, degrees): 2.9124 2.9449 7.9138 79.28 90.00 90.00
With the nearest neighbours (Å) after each atom.
Element x y z (fractional)
Ga  0.5000  0.3955  0.2091  4 Ni 2.43, 4 Rh 2.63
Ga  0.5000  0.6045  0.7909  4 Ni 2.43, 4 Rh 2.63
Ni  0.0000  0.1868  0.6263  4 Ga 2.43, 2 Ni 2.46
Ni  0.0000  0.8132  0.3737  4 Ga 2.43, 2 Ni 2.46
Rh  0.0000  0.0000  0.0000  8 Ga 2.63, 2 Ni 2.91, 4 Rh 2.91-2.94

(6)
Density functional theory data (PBE-GGA) for GaNi14Rh after structural relaxation.

* energy relative to the elements: -48 meV/atom
* symmetry: Amm2, No. 38

Lattice parameters (Å, degrees): 5.0494 5.0494 8.2326 90.00 90.00 120.34
With the nearest neighbours (Å) after each atom.
Element x y z (fractional)
Ga  0.5405  0.4595  0.5000  2 Rh 2.51, 10 Ni 2.52-2.56
Ni  0.2093  0.7907  0.0000  12 Ni 2.48-2.53
Ni  0.7091  0.2909  0.0000  12 Ni 2.48-2.53
Ni  0.0388  0.4577  0.5000  8 Ni 2.49-2.55, 2 Rh 2.52-2.53, 2 Ga 2.52-2.53
Ni  0.2095  0.2920  0.0000  12 Ni 2.49-2.53
Ni  0.5423  0.9612  0.5000  8 Ni 2.49-2.55, 2 Rh 2.52-2.53, 2 Ga 2.52-2.53
Ni  0.7080  0.7905  0.0000  12 Ni 2.49-2.53
Ni  0.3770  0.1242  0.7559  10 Ni 2.48-2.55, 1 Ga 2.56, 1 Rh 2.57
Ni  0.3770  0.1242  0.2441  10 Ni 2.48-2.55, 1 Ga 2.56, 1 Rh 2.57
Ni  0.8758  0.6230  0.7559  10 Ni 2.48-2.55, 1 Ga 2.56, 1 Rh 2.57
Ni  0.8758  0.6230  0.2441  10 Ni 2.48-2.55, 1 Ga 2.56, 1 Rh 2.57
Ni  0.3744  0.6256  0.7522  11 Ni 2.50-2.54, 1 Ga 2.54
Ni  0.3744  0.6256  0.2478  11 Ni 2.50-2.54, 1 Ga 2.54
Ni  0.8740  0.1260  0.7546  11 Ni 2.48-2.55, 1 Rh 2.55
Ni  0.8740  0.1260  0.2454  11 Ni 2.48-2.55, 1 Rh 2.55
Rh  0.0400  0.9600  0.5000  2 Ga 2.51, 10 Ni 2.52-2.57

(7)
Density functional theory data (PBE-GGA) for GaNi2Rh6 after structural relaxation.

* energy relative to the elements: -97 meV/atom
* symmetry: C2/c, No. 15

Lattice parameters (Å, degrees): 9.8434 9.8434 13.0545 28.17 28.17 27.41
With the nearest neighbours (Å) after each atom.
Element x y z (fractional)
Ga  0.1688  0.8312  0.2500  10 Rh 2.66-2.71, 2 Ni 2.68
Ga  0.8312  0.1688  0.7500  10 Rh 2.66-2.71, 2 Ni 2.68
Ni  0.8378  0.5038  0.3569  9 Rh 2.63-2.71, 2 Ni 2.66, 1 Ga 2.68
Ni  0.4962  0.1622  0.1431  9 Rh 2.63-2.71, 2 Ni 2.66, 1 Ga 2.68
Ni  0.1622  0.4962  0.6431  9 Rh 2.63-2.71, 2 Ni 2.66, 1 Ga 2.68
Ni  0.5038  0.8378  0.8569  9 Rh 2.63-2.71, 2 Ni 2.66, 1 Ga 2.68
Rh  0.5025  0.8354  0.5222  2 Ni 2.64, 8 Rh 2.65-2.74, 2 Ga 2.69-2.71
Rh  0.1646  0.4975  0.9778  2 Ni 2.64, 8 Rh 2.65-2.74, 2 Ga 2.69-2.71
Rh  0.4975  0.1646  0.4778  2 Ni 2.64, 8 Rh 2.65-2.74, 2 Ga 2.69-2.71
Rh  0.8354  0.5025  0.0222  2 Ni 2.64, 8 Rh 2.65-2.74, 2 Ga 2.69-2.71
Rh  0.8233  0.5017  0.7002  7 Rh 2.65-2.73, 2 Ga 2.66-2.71, 3 Ni 2.66-2.68
Rh  0.4983  0.1767  0.7998  7 Rh 2.65-2.73, 2 Ga 2.66-2.71, 3 Ni 2.66-2.68
Rh  0.1767  0.4983  0.2998  7 Rh 2.65-2.73, 2 Ga 2.66-2.71, 3 Ni 2.66-2.68
Rh  0.5017  0.8233  0.2002  7 Rh 2.65-2.73, 2 Ga 2.66-2.71, 3 Ni 2.66-2.68
Rh  0.8382  0.1670  0.0791  4 Ni 2.63-2.71, 7 Rh 2.65-2.74, 1 Ga 2.68
Rh  0.8330  0.1618  0.4209  4 Ni 2.63-2.71, 7 Rh 2.65-2.74, 1 Ga 2.68
Rh  0.1618  0.8330  0.9209  4 Ni 2.63-2.71, 7 Rh 2.65-2.74, 1 Ga 2.68
Rh  0.1670  0.8382  0.5791  4 Ni 2.63-2.71, 7 Rh 2.65-2.74, 1 Ga 2.68

(8)
Density functional theory data (PBE-GGA) for Ga2Ni15Rh2 after structural relaxation.

* energy relative to the elements: 90 meV/atom
* symmetry: R-3m, No. 166

Lattice parameters (Å, degrees): 6.2096 6.2096 6.2096 81.79 81.79 81.79
With the nearest neighbours (Å) after each atom.
Element x y z (fractional)
Ga  0.1155  0.1155  0.1155  6 Ni 2.43-2.48
Ga  0.8845  0.8845  0.8845  6 Ni 2.43-2.48
Ni  0.5000  0.0000  0.0000  8 Ni 2.36-2.42, 2 Ga 2.43
Ni  0.0000  0.0000  0.5000  8 Ni 2.36-2.42, 2 Ga 2.43
Ni  0.0000  0.5000  0.0000  8 Ni 2.36-2.42, 2 Ga 2.43
Ni  0.0000  0.6778  0.3222  8 Ni 2.42-2.62
Ni  0.6778  0.3222  0.0000  8 Ni 2.42-2.62
Ni  0.3222  0.0000  0.6778  8 Ni 2.42-2.62
Ni  0.3222  0.6778  0.0000  8 Ni 2.42-2.62
Ni  0.6778  0.0000  0.3222  8 Ni 2.42-2.62
Ni  0.0000  0.3222  0.6778  8 Ni 2.42-2.62
Ni  0.1656  0.6590  0.6590  8 Ni 2.32-2.48, 1 Ga 2.48
Ni  0.6590  0.6590  0.1656  8 Ni 2.32-2.48, 1 Ga 2.48
Ni  0.6590  0.1656  0.6590  8 Ni 2.32-2.48, 1 Ga 2.48
Ni  0.8344  0.3410  0.3410  8 Ni 2.32-2.48, 1 Ga 2.48
Ni  0.3410  0.3410  0.8344  8 Ni 2.32-2.48, 1 Ga 2.48
Ni  0.3410  0.8344  0.3410  8 Ni 2.32-2.48, 1 Ga 2.48
Rh  0.3846  0.3846  0.3846  12 Ni 2.68-2.83, 1 Rh 2.81
Rh  0.6154  0.6154  0.6154  12 Ni 2.68-2.83, 1 Rh 2.81

(9)
Density functional theory data (PBE-GGA) for Ga4NiRh7 after structural relaxation.

* energy relative to the elements: -108 meV/atom
* symmetry: C2/m, No. 12

Lattice parameters (Å, degrees): 4.4414 7.4710 6.3175 79.14 69.42 72.71
With the nearest neighbours (Å) after each atom.
Element x y z (fractional)
Ga  0.5762  0.2171  0.6304  8 Rh 2.45-2.64
Ga  0.4238  0.7829  0.3696  8 Rh 2.45-2.64
Ga  0.7141  0.6641  0.9077  8 Rh 2.47-2.75
Ga  0.2859  0.3359  0.0923  8 Rh 2.47-2.75
Ni  0.0000  0.0000  0.0000  4 Rh 2.22-2.49
Rh  0.7896  0.8712  0.5496  4 Ga 2.47-2.57, 1 Rh 2.72
Rh  0.2104  0.1288  0.4504  4 Ga 2.47-2.57, 1 Rh 2.72
Rh  0.0745  0.6709  0.1802  1 Ni 2.49, 5 Ga 2.49-2.75, 1 Rh 2.72
Rh  0.9255  0.3291  0.8198  1 Ni 2.49, 5 Ga 2.49-2.75, 1 Rh 2.72
Rh  0.3530  0.5718  0.7222  5 Ga 2.45-2.64
Rh  0.5000  0.0000  0.0000  2 Ni 2.22
Rh  0.6470  0.4282  0.2778  5 Ga 2.45-2.64

(10)
Density functional theory data (PBE-GGA) for Ga6NiRh after structural relaxation.

* energy relative to the elements: -151 meV/atom
* symmetry: C2/m, No. 12

Lattice parameters (Å, degrees): 6.4541 5.5110 4.9229 55.96 79.74 71.45
With the nearest neighbours (Å) after each atom.
Element x y z (fractional)
Ga  0.7879  0.5681  0.6026  1 Ni 2.40, 1 Ga 2.59, 1 Rh 2.62
Ga  0.7879  0.1707  0.3974  1 Ni 2.40, 1 Ga 2.59, 1 Rh 2.62
Ga  0.2121  0.8293  0.6026  1 Ni 2.40, 1 Ga 2.59, 1 Rh 2.62
Ga  0.2121  0.4319  0.3974  1 Ni 2.40, 1 Ga 2.59, 1 Rh 2.62
Ga  0.6831  0.8186  0.0000  1 Ni 2.41, 1 Rh 2.55, 3 Ga 2.56-2.59
Ga  0.3169  0.1814  0.0000  1 Ni 2.41, 1 Rh 2.55, 3 Ga 2.56-2.59
Ni  0.5000  0.5000  0.0000  6 Ga 2.40-2.41
Rh  0.0000  0.0000  0.0000  6 Ga 2.55-2.62

The highest energy relative to the elements belongs to which entry?
GaNiRh4

The lowest energy relative to the elements belongs to which entry?
Ga3NiRh6